Entry 1:
Sr2CuRu | PBE-GGA | optimized geometry

a = 8.385 Å, b = 8.385 Å, c = 8.385 Å
α = 29.51°, β = 29.51°, γ = 29.51°
Fractional positions:
Sr1 0.208 0.208 0.208
Sr2 0.042 0.042 0.042
Ru1 0.792 0.792 0.792
Cu1 0.458 0.458 0.458

Calculated values
D(E_F)	5.28	states/eV/cell
crystal system	trigonal


Entry 2:
SrCu2Ru | PBE-GGA | optimized geometry

a = 4.629 Å, b = 4.629 Å, c = 4.629 Å
α = 60.00°, β = 60.00°, γ = 60.00°
Fractional positions:
Ru1 0.500 0.500 0.500
Cu1 0.000 0.000 0.000
Cu2 0.250 0.250 0.250
Sr1 0.750 0.750 0.750

Calculated values
D(E_F)	3.78	states/eV/cell
energy above the most stable polymorph in this dataset	485	meV/atom
crystal system	cubic


Entry 3:
SrCu2Ru | PBE-GGA | optimized geometry

a = 4.662 Å, b = 4.662 Å, c = 4.662 Å
α = 60.00°, β = 60.00°, γ = 60.00°
Fractional positions:
Cu1 0.250 0.250 0.250
Cu2 0.750 0.750 0.750
Sr1 0.000 0.000 0.000
Ru1 0.500 0.500 0.500

Calculated values
D(E_F)	1.40	states/eV/cell
energy above the most stable polymorph in this dataset	381	meV/atom
crystal system	cubic


Entry 4:
SrCu2Ru | PBE-GGA | optimized geometry

a = 4.681 Å, b = 4.681 Å, c = 9.208 Å
α = 75.28°, β = 75.28°, γ = 90.00°
Fractional positions:
Ru1 0.000 0.000 0.000
Ru2 0.750 0.250 0.500
Sr1 0.500 0.500 0.000
Sr2 0.250 0.750 0.500
Cu1 0.875 0.125 0.250
Cu2 0.875 0.625 0.250
Cu3 0.875 0.125 0.750
Cu4 0.375 0.125 0.750

Calculated values
D(E_F)	11.06	states/eV/cell
energy above the most stable polymorph in this dataset	373	meV/atom
crystal system	tetragonal


Entry 5:
Sr2CuRu | PBE-GGA | optimized geometry

a = 3.608 Å, b = 3.608 Å, c = 7.801 Å
α = 90.00°, β = 90.00°, γ = 89.98°
Fractional positions:
Sr1 0.000 0.000 0.986
Sr2 0.000 0.000 0.514
Cu1 0.500 0.500 0.250
Ru1 0.500 0.500 0.750

Calculated values
D(E_F)	4.80	states/eV/cell
crystal system	tetragonal


Entry 6:
SrCu2Ru | PBE-GGA | optimized geometry

a = 3.327 Å, b = 3.319 Å, c = 6.570 Å
α = 90.00°, β = 90.00°, γ = 90.00°
Fractional positions:
Cu1 0.000 0.000 0.430
Cu2 0.000 0.000 0.070
Sr1 0.500 0.500 0.750
Ru1 0.500 0.500 0.250

Calculated values
D(E_F)	4.19	states/eV/cell
energy above the most stable polymorph in this dataset	207	meV/atom
crystal system	tetragonal


Entry 7:
Sr4CuRu | PBE-GGA | optimized geometry

a = 6.615 Å, b = 6.615 Å, c = 6.615 Å
α = 60.00°, β = 60.00°, γ = 60.00°
Fractional positions:
Sr1 0.374 0.374 0.878
Sr2 0.374 0.878 0.374
Sr3 0.374 0.374 0.374
Sr4 0.878 0.374 0.374
Ru1 0.000 0.000 0.000
Cu1 0.750 0.750 0.750

Calculated values
D(E_F)	6.84	states/eV/cell
crystal system	cubic


Entry 8:
Sr2CuRu | PBE-GGA | optimized geometry

a = 5.062 Å, b = 5.062 Å, c = 5.062 Å
α = 60.00°, β = 60.00°, γ = 60.00°
Fractional positions:
Sr1 0.250 0.250 0.250
Sr2 0.000 0.000 0.000
Ru1 0.750 0.750 0.750
Cu1 0.500 0.500 0.500

Calculated values
D(E_F)	4.66	states/eV/cell
crystal system	cubic


no.,formation energy from the elements (eV/atom),magnetization (μB per formula unit)
1,0.130,0.00
2,0.640,0.00
3,0.536,0.00
4,0.528,1.42
5,0.381,0.61
6,0.362,0.00
7,1.199,0.18
8,0.589,0.00